[1]
Compound: SrLi2
Source: Alexandria
Functional: PBE
Structure: optimized geometry

calculated density	1.69	g cm⁻³

CIF file:
```
data_SrLi2
_cell_length_a 5.746
_cell_length_b 6.954
_cell_length_c 9.956
_cell_angle_alpha 90.00
_cell_angle_beta 90.00
_cell_angle_gamma 90.00
_symmetry_space_group_name_H-M 'P 1'
_symmetry_Int_Tables_number 1
_symmetry_space_group_name_Hall 'P 1'
loop_
_atom_site_label
_atom_site_type_symbol
_atom_site_fract_x
_atom_site_fract_y
_atom_site_fract_z
_atom_site_occupancy
Li1 Li 0.250 0.997 0.721 1
Li2 Li 0.250 0.655 0.054 1
Li3 Li 0.750 0.345 0.946 1
Li4 Li 0.250 0.497 0.779 1
Li5 Li 0.750 0.503 0.221 1
Li6 Li 0.750 0.003 0.279 1
Li7 Li 0.250 0.155 0.446 1
Li8 Li 0.750 0.845 0.554 1
Sr1 Sr 0.250 0.171 0.098 1
Sr2 Sr 0.750 0.829 0.902 1
Sr3 Sr 0.750 0.329 0.598 1
Sr4 Sr 0.250 0.671 0.402 1
```

[2]
Compound: SrLi2
Source: Alexandria
Functional: PBE
Structure: optimized geometry

calculated density	1.74	g cm⁻³

CIF file:
```
data_SrLi2
_cell_length_a 8.287
_cell_length_b 8.287
_cell_length_c 5.633
_cell_angle_alpha 90.00
_cell_angle_beta 90.00
_cell_angle_gamma 149.89
_symmetry_space_group_name_H-M 'P 1'
_symmetry_Int_Tables_number 1
_symmetry_space_group_name_Hall 'P 1'
loop_
_atom_site_label
_atom_site_type_symbol
_atom_site_fract_x
_atom_site_fract_y
_atom_site_fract_z
_atom_site_occupancy
Sr1 Sr 0.311 0.689 0.000 1
Sr2 Sr 0.134 0.866 0.500 1
Li1 Li 0.828 0.172 0.500 1
Li2 Li 0.988 0.012 0.000 1
Li3 Li 0.617 0.383 0.000 1
Li4 Li 0.457 0.543 0.500 1
```

no.,DFT formation energy (eV/atom),Fermi-level density of states (states/eV per atom)
1,0.078,0.7657
2,0.064,0.8583